Record 1
A plane-wave DFT calculation with PBE was carried out for a relaxed Ca2Zn2Ag5Sn crystal.

Cell lengths 4.1243, 10.0988, 10.0988 Å; angles 90.00, 90.00, 90.00 degrees
Positions (direct):
Ag  0.5000  0.5000  0.0000
Sn  0.0000  0.0000  0.0000
Zn  0.0000  0.8844  0.3844
Ca  0.0000  0.8198  0.6802
Ag  0.5000  0.5623  0.7091
Ag  0.5000  0.4377  0.2909
Zn  0.0000  0.3844  0.1156
Ca  0.0000  0.3198  0.8198
Ag  0.5000  0.7091  0.4377
Sn  0.0000  0.5000  0.5000
Ag  0.5000  0.0623  0.7909
Zn  0.0000  0.1156  0.6156
Ca  0.0000  0.1802  0.3198
Ag  0.5000  0.2091  0.0623
Ag  0.5000  0.0000  0.5000
Ag  0.5000  0.2909  0.5623
Ag  0.5000  0.7909  0.9377
Zn  0.0000  0.6156  0.8844
Ca  0.0000  0.6802  0.1802
Ag  0.5000  0.9377  0.2091

Summary:
Energy: -2.6742 eV per atom
Magnetic moment: 0.0 μB per cell
Volume: 420.6 Å³/cell

Record 2
A plane-wave DFT calculation with PBE was carried out for a relaxed CaZnAgSn2 crystal.

Cell lengths 4.5335, 4.5335, 6.7999 Å; angles 109.47, 109.47, 90.00 degrees
Positions (direct):
Ag  0.7500  0.2500  0.5000
Ca  0.0000  0.0000  0.0000
Sn  0.6174  0.6174  0.2348
Sn  0.3826  0.3826  0.7652
Zn  0.2500  0.7500  0.5000

Summary:
Energy: -3.0994 eV per atom
Magnetic moment: 0.0 μB per cell
Volume: 123.3 Å³/cell

Record 3
A plane-wave DFT calculation with PBE was carried out for a relaxed Ca2ZnAg3Sn4 crystal.

Cell lengths 4.4152, 4.4152, 12.5506 Å; angles 90.00, 90.00, 90.00 degrees
Positions (direct):
Sn  0.0000  0.5000  0.3643
Sn  0.5000  0.0000  0.6357
Ag  0.0000  0.0000  0.5000
Ca  0.5000  0.0000  0.2555
Sn  0.5000  0.5000  0.0000
Ag  0.5000  0.0000  0.8503
Sn  0.0000  0.0000  0.0000
Zn  0.5000  0.5000  0.5000
Ag  0.0000  0.5000  0.1497
Ca  0.0000  0.5000  0.7445

Summary:
Energy: -3.2671 eV per atom
Magnetic moment: 0.0 μB per cell
Volume: 244.7 Å³/cell

Record 4
A plane-wave DFT calculation with PBE was carried out for a relaxed CaZrAg2Sn crystal.

Cell lengths 4.9888, 5.5693, 4.9888 Å; angles 90.00, 90.00, 90.00 degrees
Positions (direct):
Zr  0.5000  0.5000  0.5000
Sn  0.0000  0.5000  0.0000
Ca  0.0000  0.0000  0.0000
Ag  0.5000  0.0000  0.0000
Ag  0.0000  0.0000  0.5000

Summary:
Energy: -3.1432 eV per atom
Magnetic moment: 0.0 μB per cell
Volume: 138.6 Å³/cell

Record 5
A plane-wave DFT calculation with PBE was carried out for a relaxed Sr2CaAg9 crystal.

Cell lengths 5.7715, 5.7715, 10.1190 Å; angles 73.43, 73.43, 60.00 degrees
Positions (direct):
Ca  0.0000  0.0000  0.0000
Ag  0.4178  0.4178  0.2453
Ag  0.5000  0.5000  0.5000
Ag  0.0809  0.5822  0.7547
Ag  0.4178  0.9191  0.2453
Ag  0.5822  0.5822  0.7547
Sr  0.1393  0.1393  0.5821
Ag  0.6671  0.6671  0.9986
Sr  0.8607  0.8607  0.4179
Ag  0.5822  0.0809  0.7547
Ag  0.9191  0.4178  0.2453
Ag  0.3329  0.3329  0.0014

Summary:
Energy: -2.7771 eV per atom
Magnetic moment: 0.0 μB per cell
Volume: 275.6 Å³/cell

Record 6
A plane-wave DFT calculation with PBE was carried out for a relaxed Sr3Ca4Ag4 crystal.

Cell lengths 4.3584, 9.5974, 10.2444 Å; angles 117.93, 102.28, 90.00 degrees
Positions (direct):
Sr  0.8931  0.8931  0.7863
Ag  0.5000  0.2044  0.0000
Ag  0.7541  0.2541  0.5082
Ca  0.3292  0.1403  0.6584
Ca  0.6708  0.4819  0.3416
Sr  0.0000  0.5000  0.0000
Ag  0.2459  0.7459  0.4918
Ca  0.6708  0.8597  0.3416
Ag  0.5000  0.7956  0.0000
Sr  0.1069  0.1069  0.2137
Ca  0.3292  0.5181  0.6584

Summary:
Energy: -2.4513 eV per atom
Magnetic moment: 0.0 μB per cell
Volume: 367.5 Å³/cell

Question: Look up the volume of the first one.
Answer: 420.6 Å³/cell